No. 1
This record from Alexandria describes a relaxed Ce3Cr10N11 crystal. The functional is PBEsol.

a b c (Å): 8.871 8.871 8.871
angles (deg): 60.00 60.00 60.00
Positions (direct):
Ce (0.195, 0.195, 0.805)
Ce (0.195, 0.805, 0.195)
Ce (0.195, 0.805, 0.805)
Ce (0.805, 0.195, 0.195)
Ce (0.805, 0.195, 0.805)
Ce (0.805, 0.805, 0.195)
Cr (0.109, 0.109, 0.391)
Cr (0.109, 0.391, 0.109)
Cr (0.109, 0.391, 0.391)
Cr (0.205, 0.598, 0.598)
Cr (0.391, 0.109, 0.109)
Cr (0.391, 0.109, 0.391)
Cr (0.391, 0.391, 0.109)
Cr (0.402, 0.402, 0.402)
Cr (0.402, 0.402, 0.795)
Cr (0.402, 0.795, 0.402)
Cr (0.598, 0.205, 0.598)
Cr (0.598, 0.598, 0.205)
Cr (0.598, 0.598, 0.598)
Cr (0.609, 0.609, 0.891)
Cr (0.609, 0.891, 0.609)
Cr (0.609, 0.891, 0.891)
Cr (0.795, 0.402, 0.402)
Cr (0.891, 0.609, 0.609)
Cr (0.891, 0.609, 0.891)
Cr (0.891, 0.891, 0.609)
N (0.000, 0.000, 0.000)
N (0.138, 0.138, 0.138)
N (0.138, 0.138, 0.586)
N (0.138, 0.586, 0.138)
N (0.154, 0.500, 0.500)
N (0.154, 0.500, 0.846)
N (0.154, 0.846, 0.500)
N (0.414, 0.862, 0.862)
N (0.500, 0.154, 0.500)
N (0.500, 0.154, 0.846)
N (0.500, 0.500, 0.154)
N (0.500, 0.500, 0.500)
N (0.500, 0.500, 0.846)
N (0.500, 0.846, 0.154)
N (0.500, 0.846, 0.500)
N (0.586, 0.138, 0.138)
N (0.846, 0.154, 0.500)
N (0.846, 0.500, 0.154)
N (0.846, 0.500, 0.500)
N (0.862, 0.414, 0.862)
N (0.862, 0.862, 0.414)
N (0.862, 0.862, 0.862)

Output
energy relative to the elements, uncorrected: -0.973 eV per atom
space-group type: No. 225
spin magnetization: 0.0000 μB/atom
ρ: 7.36 g cm⁻³

No. 2
This record from Alexandria describes a relaxed CeCrS2O crystal. The functional is PBEsol.

a b c (Å): 5.790 5.790 7.781
angles (deg): 90.69 90.69 36.91
Positions (direct):
Ce (0.234, 0.234, 0.289)
Ce (0.766, 0.766, 0.711)
Cr (0.000, 0.000, 0.000)
Cr (0.500, 0.500, 0.500)
S (0.044, 0.044, 0.699)
S (0.363, 0.363, 0.967)
S (0.637, 0.637, 0.033)
S (0.956, 0.956, 0.301)
O (0.329, 0.329, 0.564)
O (0.671, 0.671, 0.436)

Output
energy relative to the elements, uncorrected: -1.893 eV per atom
space-group type: No. 12
spin magnetization: 0.4494 μB/atom
ρ: 5.77 g cm⁻³

No. 3
This record from Alexandria describes a relaxed CeCrSe2O crystal. The functional is PBEsol.

a b c (Å): 5.935 5.935 8.144
angles (deg): 91.00 91.00 37.56
Positions (direct):
Ce (0.227, 0.227, 0.304)
Ce (0.773, 0.773, 0.696)
Cr (0.000, 0.000, 0.000)
Cr (0.500, 0.500, 0.500)
Se (0.048, 0.048, 0.701)
Se (0.357, 0.357, 0.969)
Se (0.643, 0.643, 0.031)
Se (0.952, 0.952, 0.299)
O (0.330, 0.330, 0.561)
O (0.670, 0.670, 0.439)

Output
energy relative to the elements, uncorrected: -1.743 eV per atom
space-group type: No. 12
spin magnetization: 0.4864 μB/atom
ρ: 6.95 g cm⁻³

No. 4
This record from Alexandria describes a relaxed Cs2CeCuI6 crystal. The functional is PBEsol.

a b c (Å): 8.315 8.315 8.315
angles (deg): 60.00 60.00 60.00
Positions (direct):
Cs (0.250, 0.250, 0.250)
Cs (0.750, 0.750, 0.750)
Ce (0.000, 0.000, 0.000)
Cu (0.500, 0.500, 0.500)
I (0.262, 0.262, 0.738)
I (0.262, 0.738, 0.262)
I (0.262, 0.738, 0.738)
I (0.738, 0.262, 0.262)
I (0.738, 0.262, 0.738)
I (0.738, 0.738, 0.262)

Output
energy relative to the elements, uncorrected: -1.111 eV per atom
space-group type: No. 225
spin magnetization: 0.1000 μB/atom
ρ: 5.03 g cm⁻³

No. 5
This record from Alexandria describes a relaxed Cs2KCeF6 crystal. The functional is PBEsol.

a b c (Å): 6.775 6.775 6.775
angles (deg): 60.00 60.00 60.00
Positions (direct):
Cs (0.250, 0.250, 0.250)
Cs (0.750, 0.750, 0.750)
K (0.000, 0.000, 0.000)
Ce (0.500, 0.500, 0.500)
F (0.264, 0.264, 0.736)
F (0.264, 0.736, 0.264)
F (0.264, 0.736, 0.736)
F (0.736, 0.264, 0.264)
F (0.736, 0.264, 0.736)
F (0.736, 0.736, 0.264)

Output
energy relative to the elements, uncorrected: -3.229 eV per atom
space-group type: No. 225
spin magnetization: 0.0999 μB/atom
ρ: 4.22 g cm⁻³

No. 6
This record from Alexandria describes a relaxed Cs2LiCeF6 crystal. The functional is PBEsol.

a b c (Å): 6.273 6.273 6.273
angles (deg): 60.00 60.00 60.00
Positions (direct):
Cs (0.250, 0.250, 0.250)
Cs (0.750, 0.750, 0.750)
Li (0.000, 0.000, 0.000)
Ce (0.500, 0.500, 0.500)
F (0.243, 0.243, 0.757)
F (0.243, 0.757, 0.243)
F (0.243, 0.757, 0.757)
F (0.757, 0.243, 0.243)
F (0.757, 0.243, 0.757)
F (0.757, 0.757, 0.243)

Output
energy relative to the elements, uncorrected: -3.245 eV per atom
space-group type: No. 225
spin magnetization: 0.1001 μB/atom
ρ: 5.01 g cm⁻³